Record 1
Crystalline AgTe2Ir at its relaxed geometry. Source: the Alexandria database, functional PBEsol.

Cell and atoms, written as CIF:
```
data_AgTe2Ir
_chemical_formula_sum 'Ag3 Te6 Ir3'
_cell_length_a 3.0169
_cell_length_b 3.0169
_cell_length_c 32.5244
_cell_angle_alpha 90.00
_cell_angle_beta 90.00
_cell_angle_gamma 120.00
_symmetry_space_group_name_H-M 'R -3 m'
_symmetry_Int_Tables_number 166
_symmetry_space_group_name_Hall '-R 3 2"'
loop_
_atom_site_label
_atom_site_fract_x
_atom_site_fract_y
_atom_site_fract_z
Ag1 0.0000 0.0000 0.0000
Te1 0.0000 0.0000 0.4214
Ir1 0.0000 0.0000 0.5000
```

Results
Fermi-level density of states (states/eV per atom): 0.525
Formation energy from raw total energies (eV per atom): 0.489
M_tot (μB per cell): 0.0
Calculated density (g/cm³): 10.790
V (A^3/atom): 21.36
Crystal system: trigonal
E above lowest polymorph (meV per atom): 538.2

Record 2
Crystalline Ti3AgIr at its relaxed geometry. Source: the Alexandria database, functional PBEsol.

Cell and atoms, written as CIF:
```
data_Ti3AgIr
_chemical_formula_sum 'Ti3 Ag1 Ir1'
_cell_length_a 4.694
_cell_length_b 4.694
_cell_length_c 4.694
_cell_angle_alpha 90.00
_cell_angle_beta 90.00
_cell_angle_gamma 90.00
_symmetry_space_group_name_H-M 'P m -3 m'
_symmetry_Int_Tables_number 221
_symmetry_space_group_name_Hall '-P 4 2 3'
loop_
_atom_site_label
_atom_site_fract_x
_atom_site_fract_y
_atom_site_fract_z
Ti1 0.000 0.000 0.500
Ag1 0.500 0.500 0.500
Ir1 0.000 0.000 0.000
```

Results
Fermi-level density of states (states/eV per atom): 1.667
M_tot (μB per cell): 0.8
Calculated density (g/cm³): 7.125
ΔH_f (0 K) (meV per atom): 423
V (A^3/atom): 20.68
Crystal system: cubic

Record 3
Crystalline TlAgIr2 at its relaxed geometry. Source: the Alexandria database, functional PBEsol.

Cell and atoms, written as CIF:
```
data_TlAgIr2
_chemical_formula_sum 'Tl2 Ag2 Ir4'
_cell_length_a 4.055
_cell_length_b 4.055
_cell_length_c 7.919
_cell_angle_alpha 90.00
_cell_angle_beta 90.00
_cell_angle_gamma 90.00
_symmetry_space_group_name_H-M 'I 4/m m m'
_symmetry_Int_Tables_number 139
_symmetry_space_group_name_Hall '-I 4 2'
loop_
_atom_site_label
_atom_site_fract_x
_atom_site_fract_y
_atom_site_fract_z
Tl1 0.000 0.000 0.000
Ag1 0.000 0.000 0.500
Ir1 0.000 0.500 0.250
```

Results
Fermi-level density of states (states/eV per atom): 1.421
M_tot (μB per cell): 0.0
Calculated density (g/cm³): 17.769
ΔH_f (0 K) (meV per atom): 571
V (A^3/atom): 16.28
Crystal system: tetragonal
E above lowest polymorph (meV per atom): 135.5

Record 4
Crystalline TlAgIr at its relaxed geometry. Source: the Alexandria database, functional PBEsol.

Cell and atoms, written as CIF:
```
data_TlAgIr
_chemical_formula_sum 'Tl2 Ag2 Ir2'
_cell_length_a 3.010
_cell_length_b 4.028
_cell_length_c 8.593
_cell_angle_alpha 90.00
_cell_angle_beta 90.00
_cell_angle_gamma 90.00
_symmetry_space_group_name_H-M 'I m m 2'
_symmetry_Int_Tables_number 44
_symmetry_space_group_name_Hall 'I 2 -2'
loop_
_atom_site_label
_atom_site_fract_x
_atom_site_fract_y
_atom_site_fract_z
Tl1 0.000 0.000 0.000
Ag1 0.000 0.000 0.324
Ir1 0.000 0.000 0.662
```

Results
Fermi-level density of states (states/eV per atom): 0.731
M_tot (μB per cell): 0.0
Calculated density (g/cm³): 16.085
ΔH_f (0 K) (meV per atom): 487
V (A^3/atom): 17.36
Crystal system: orthorhombic
E above lowest polymorph (meV per atom): 0.0

Record 5
Crystalline TlAg2Ir at its relaxed geometry. Source: the Alexandria database, functional PBEsol.

Cell and atoms, written as CIF:
```
data_TlAg2Ir
_chemical_formula_sum 'Tl1 Ag2 Ir1'
_cell_length_a 2.979
_cell_length_b 3.973
_cell_length_c 5.828
_cell_angle_alpha 90.00
_cell_angle_beta 90.00
_cell_angle_gamma 90.00
_symmetry_space_group_name_H-M 'P m m 2'
_symmetry_Int_Tables_number 25
_symmetry_space_group_name_Hall 'P 2 -2'
loop_
_atom_site_label
_atom_site_fract_x
_atom_site_fract_y
_atom_site_fract_z
Tl1 0.000 0.000 0.000
Ag1 0.000 0.000 0.515
Ag2 0.500 0.500 0.288
Ir1 0.500 0.500 0.773
```

Results
Fermi-level density of states (states/eV per atom): 0.499
M_tot (μB per cell): 0.0
Calculated density (g/cm³): 14.740
ΔH_f (0 K) (meV per atom): 354
V (A^3/atom): 17.25
Crystal system: orthorhombic
E above lowest polymorph (meV per atom): 0.0

Record 6
Crystalline TlAgIr at its relaxed geometry. Source: the Alexandria database, functional PBEsol.

Cell and atoms, written as CIF:
```
data_TlAgIr
_chemical_formula_sum 'Tl4 Ag4 Ir4'
_cell_length_a 3.004
_cell_length_b 5.044
_cell_length_c 14.180
_cell_angle_alpha 90.00
_cell_angle_beta 90.00
_cell_angle_gamma 90.00
_symmetry_space_group_name_H-M 'F m m 2'
_symmetry_Int_Tables_number 42
_symmetry_space_group_name_Hall 'F 2 -2'
loop_
_atom_site_label
_atom_site_fract_x
_atom_site_fract_y
_atom_site_fract_z
Tl1 0.000 0.000 0.000
Ag1 0.000 0.000 0.323
Ir1 0.000 0.000 0.663
```

Results
Fermi-level density of states (states/eV per atom): 0.452
M_tot (μB per cell): 0.0
Calculated density (g/cm³): 15.595
ΔH_f (0 K) (meV per atom): 557
V (A^3/atom): 17.91
Crystal system: orthorhombic
E above lowest polymorph (meV per atom): 70.1

Record 7
Crystalline TlAgIr4 at its relaxed geometry. Source: the Alexandria database, functional PBEsol.

Cell and atoms, written as CIF:
```
data_TlAgIr4
_chemical_formula_sum 'Tl4 Ag4 Ir16'
_cell_length_a 7.368
_cell_length_b 7.368
_cell_length_c 7.368
_cell_angle_alpha 90.00
_cell_angle_beta 90.00
_cell_angle_gamma 90.00
_symmetry_space_group_name_H-M 'F -4 3 m'
_symmetry_Int_Tables_number 216
_symmetry_space_group_name_Hall 'F -4 2 3'
loop_
_atom_site_label
_atom_site_fract_x
_atom_site_fract_y
_atom_site_fract_z
Tl1 0.000 0.000 0.000
Ag1 0.250 0.250 0.250
Ir1 0.125 0.125 0.625
```

Results
Fermi-level density of states (states/eV per atom): 1.247
M_tot (μB per cell): 0.0
Calculated density (g/cm³): 17.955
ΔH_f (0 K) (meV per atom): 595
V (A^3/atom): 16.66
Crystal system: cubic

Record 8
Crystalline TlAgIr3 at its relaxed geometry. Source: the Alexandria database, functional PBEsol.

Cell and atoms, written as CIF:
```
data_TlAgIr3
_chemical_formula_sum 'Tl1 Ag1 Ir3'
_cell_length_a 4.893
_cell_length_b 4.893
_cell_length_c 4.893
_cell_angle_alpha 90.00
_cell_angle_beta 90.00
_cell_angle_gamma 90.00
_symmetry_space_group_name_H-M 'P m -3 m'
_symmetry_Int_Tables_number 221
_symmetry_space_group_name_Hall '-P 4 2 3'
loop_
_atom_site_label
_atom_site_fract_x
_atom_site_fract_y
_atom_site_fract_z
Tl1 0.000 0.000 0.000
Ag1 0.500 0.500 0.500
Ir1 0.000 0.000 0.500
```

Results
Fermi-level density of states (states/eV per atom): 2.158
M_tot (μB per cell): 2.5
Calculated density (g/cm³): 12.601
ΔH_f (0 K) (meV per atom): 2624
V (A^3/atom): 23.43
Crystal system: cubic

Record 9
Crystalline TlAgIr2 at its relaxed geometry. Source: the Alexandria database, functional PBEsol.

Cell and atoms, written as CIF:
```
data_TlAgIr2
_chemical_formula_sum 'Tl1 Ag1 Ir2'
_cell_length_a 2.787
_cell_length_b 3.647
_cell_length_c 7.249
_cell_angle_alpha 90.00
_cell_angle_beta 101.17
_cell_angle_gamma 90.00
_symmetry_space_group_name_H-M 'P 1 m 1'
_symmetry_Int_Tables_number 6
_symmetry_space_group_name_Hall 'P -2y'
loop_
_atom_site_label
_atom_site_fract_x
_atom_site_fract_y
_atom_site_fract_z
Tl1 0.000 0.000 0.000
Ag1 0.642 0.500 0.282
Ir1 0.267 0.000 0.530
Ir2 0.846 0.500 0.685
```

Results
Fermi-level density of states (states/eV per atom): 0.837
M_tot (μB per cell): 0.0
Calculated density (g/cm³): 16.008
ΔH_f (0 K) (meV per atom): 436
V (A^3/atom): 18.07
Crystal system: monoclinic
E above lowest polymorph (meV per atom): 0.0

Record 10
Crystalline TlAg2Ir at its relaxed geometry. Source: the Alexandria database, functional PBEsol.

Cell and atoms, written as CIF:
```
data_TlAg2Ir
_chemical_formula_sum 'Tl2 Ag4 Ir2'
_cell_length_a 2.989
_cell_length_b 4.932
_cell_length_c 9.588
_cell_angle_alpha 90.00
_cell_angle_beta 90.00
_cell_angle_gamma 90.00
_symmetry_space_group_name_H-M 'C m m 2'
_symmetry_Int_Tables_number 35
_symmetry_space_group_name_Hall 'C 2 -2'
loop_
_atom_site_label
_atom_site_fract_x
_atom_site_fract_y
_atom_site_fract_z
Tl1 0.000 0.000 0.000
Ag1 0.000 0.000 0.514
Ag2 0.000 0.500 0.272
Ir1 0.000 0.500 0.752
```

Results
Fermi-level density of states (states/eV per atom): 0.521
M_tot (μB per cell): 0.0
Calculated density (g/cm³): 14.387
ΔH_f (0 K) (meV per atom): 426
V (A^3/atom): 17.67
Crystal system: orthorhombic
E above lowest polymorph (meV per atom): 72.6

Record 11
Crystalline AgIrW at its relaxed geometry. Source: the Alexandria database, functional PBEsol.

Cell and atoms, written as CIF:
```
data_AgIrW
_chemical_formula_sum 'Ag2 Ir2 W2'
_cell_length_a 2.789
_cell_length_b 3.896
_cell_length_c 8.338
_cell_angle_alpha 90.00
_cell_angle_beta 90.00
_cell_angle_gamma 90.00
_symmetry_space_group_name_H-M 'I m m 2'
_symmetry_Int_Tables_number 44
_symmetry_space_group_name_Hall 'I 2 -2'
loop_
_atom_site_label
_atom_site_fract_x
_atom_site_fract_y
_atom_site_fract_z
Ag1 0.000 0.000 0.000
Ir1 0.000 0.000 0.674
W1 0.000 0.000 0.325
```

Results
Fermi-level density of states (states/eV per atom): 0.576
M_tot (μB per cell): 0.0
Calculated density (g/cm³): 17.739
ΔH_f (0 K) (meV per atom): 194
V (A^3/atom): 15.10
Crystal system: orthorhombic
E above lowest polymorph (meV per atom): 0.0

Record 12
Crystalline AgIrW at its relaxed geometry. Source: the Alexandria database, functional PBEsol.

Cell and atoms, written as CIF:
```
data_AgIrW
_chemical_formula_sum 'Ag4 Ir4 W4'
_cell_length_a 6.005
_cell_length_b 6.005
_cell_length_c 6.005
_cell_angle_alpha 90.00
_cell_angle_beta 90.00
_cell_angle_gamma 90.00
_symmetry_space_group_name_H-M 'F -4 3 m'
_symmetry_Int_Tables_number 216
_symmetry_space_group_name_Hall 'F -4 2 3'
loop_
_atom_site_label
_atom_site_fract_x
_atom_site_fract_y
_atom_site_fract_z
Ag1 0.000 0.000 0.000
Ir1 0.000 0.000 0.500
W1 0.250 0.250 0.750
```

Results
Fermi-level density of states (states/eV per atom): 0.950
M_tot (μB per cell): 0.0
Calculated density (g/cm³): 14.845
ΔH_f (0 K) (meV per atom): 880
V (A^3/atom): 18.04
Crystal system: cubic
E above lowest polymorph (meV per atom): 686.2